PBE-GGA Tm2CuTe, optimized geometry; V = 25.84 Å³/atom; DOS(E_F) = 2.98 states/eV/f.u.; symmetry = R3m, No. 160; E_form (uncorrected) = -0.66 eV/atom; ΔE to the lowest computed polymorph = 0.075 eV/atom
1.0
2.074 1.198 6.933
-2.074 1.198 6.933
0.000 -2.395 6.933
Tm Cu Te
2 1 1
Direct
0.000 0.000 0.000
0.194 0.194 0.194
0.596 0.596 0.596
0.430 0.430 0.430